Model w:
The following is a DFT calculation (PBE) of crystalline CdAgI2 at its relaxed geometry.

Cell: 6.9502 6.9502 13.8579 Å, 90.00 90.00 90.00°
Last column: nearest neighbours and their distance in Å.
Positions (direct):
Cd (0.0000, 0.0000, 0.0000)  4 I 3.13
Cd (0.0000, 0.5000, 0.2500)  4 I 3.13
Cd (0.5000, 0.0000, 0.7500)  4 I 3.13
Cd (0.5000, 0.5000, 0.5000)  4 I 3.13
Ag (0.0000, 0.0000, 0.5000)  4 I 2.89
Ag (0.0000, 0.5000, 0.7500)  4 I 2.89
Ag (0.5000, 0.0000, 0.2500)  4 I 2.89
Ag (0.5000, 0.5000, 0.0000)  4 I 2.89
I (0.2197, 0.2500, 0.6250)  2 Ag 2.89, 2 Cd 3.13
I (0.2500, 0.7197, 0.8750)  2 Ag 2.89, 2 Cd 3.13
I (0.2500, 0.7803, 0.3750)  2 Ag 2.89, 2 Cd 3.13
I (0.2803, 0.2500, 0.1250)  2 Ag 2.89, 2 Cd 3.13
I (0.7197, 0.7500, 0.1250)  2 Ag 2.89, 2 Cd 3.13
I (0.7500, 0.2197, 0.3750)  2 Ag 2.89, 2 Cd 3.13
I (0.7500, 0.2803, 0.8750)  2 Ag 2.89, 2 Cd 3.13
I (0.7803, 0.7500, 0.6250)  2 Ag 2.89, 2 Cd 3.13

---

Model x:
The following is a DFT calculation (PBE) of crystalline CdAgI2 at its relaxed geometry.

Cell: 7.7730 7.7730 7.7730 Å, 90.00 90.00 90.00°
Last column: nearest neighbours and their distance in Å.
Positions (direct):
Cd (0.0000, 0.0000, 0.0000)  8 I 3.37
Cd (0.0000, 0.5000, 0.5000)  8 I 3.37
Cd (0.5000, 0.0000, 0.5000)  8 I 3.37
Cd (0.5000, 0.5000, 0.0000)  8 I 3.37
Ag (0.0000, 0.0000, 0.5000)  8 I 3.37
Ag (0.0000, 0.5000, 0.0000)  8 I 3.37
Ag (0.5000, 0.0000, 0.0000)  8 I 3.37
Ag (0.5000, 0.5000, 0.5000)  8 I 3.37
I (0.2500, 0.2500, 0.2500)  4 Ag 3.37, 4 Cd 3.37
I (0.2500, 0.2500, 0.7500)  4 Cd 3.37, 4 Ag 3.37
I (0.2500, 0.7500, 0.2500)  4 Cd 3.37, 4 Ag 3.37
I (0.2500, 0.7500, 0.7500)  4 Ag 3.37, 4 Cd 3.37
I (0.7500, 0.2500, 0.2500)  4 Cd 3.37, 4 Ag 3.37
I (0.7500, 0.2500, 0.7500)  4 Ag 3.37, 4 Cd 3.37
I (0.7500, 0.7500, 0.2500)  4 Ag 3.37, 4 Cd 3.37
I (0.7500, 0.7500, 0.7500)  4 Cd 3.37, 4 Ag 3.37

---

Relative energies, kJ/mol of atoms: model w 0.0; model x 18.8.

---

Model w:
The following is a DFT calculation (PBE) of crystalline CdAg2I at its relaxed geometry.

Cell: 7.3606 7.3606 7.3606 Å, 90.00 90.00 90.00°
Last column: nearest neighbours and their distance in Å.
Positions (direct):
Cd (0.0000, 0.0000, 0.0000)  8 Ag 3.19
Cd (0.0000, 0.5000, 0.5000)  8 Ag 3.19
Cd (0.5000, 0.0000, 0.5000)  8 Ag 3.19
Cd (0.5000, 0.5000, 0.0000)  8 Ag 3.19
Ag (0.2500, 0.2500, 0.2500)  4 Cd 3.19, 4 I 3.19
Ag (0.2500, 0.2500, 0.7500)  4 Cd 3.19, 4 I 3.19
Ag (0.2500, 0.7500, 0.2500)  4 Cd 3.19, 4 I 3.19
Ag (0.2500, 0.7500, 0.7500)  4 Cd 3.19, 4 I 3.19
Ag (0.7500, 0.2500, 0.2500)  4 Cd 3.19, 4 I 3.19
Ag (0.7500, 0.2500, 0.7500)  4 Cd 3.19, 4 I 3.19
Ag (0.7500, 0.7500, 0.2500)  4 Cd 3.19, 4 I 3.19
Ag (0.7500, 0.7500, 0.7500)  4 Cd 3.19, 4 I 3.19
I (0.0000, 0.0000, 0.5000)  8 Ag 3.19
I (0.0000, 0.5000, 0.0000)  8 Ag 3.19
I (0.5000, 0.0000, 0.0000)  8 Ag 3.19
I (0.5000, 0.5000, 0.5000)  8 Ag 3.19

---

Model x:
The following is a DFT calculation (PBE) of crystalline CdAg2I at its relaxed geometry.

Cell: 7.7606 7.7606 7.2118 Å, 90.00 90.00 90.00°
Last column: nearest neighbours and their distance in Å.
Positions (direct):
Cd (0.0000, 0.0000, 0.0000)  4 Ag 2.83
Cd (0.0000, 0.5000, 0.2500)  4 Ag 2.83
Cd (0.5000, 0.0000, 0.7500)  4 Ag 2.83
Cd (0.5000, 0.5000, 0.5000)  4 Ag 2.83
Ag (0.2381, 0.2500, 0.1250)  2 Cd 2.83, 2 I 2.95
Ag (0.2500, 0.7381, 0.3750)  2 Cd 2.83, 2 I 2.95
Ag (0.2500, 0.7619, 0.8750)  2 Cd 2.83, 2 I 2.95
Ag (0.2619, 0.2500, 0.6250)  2 Cd 2.83, 2 I 2.95
Ag (0.7381, 0.7500, 0.6250)  2 Cd 2.83, 2 I 2.95
Ag (0.7500, 0.2381, 0.8750)  2 Cd 2.83, 2 I 2.95
Ag (0.7500, 0.2619, 0.3750)  2 Cd 2.83, 2 I 2.95
Ag (0.7619, 0.7500, 0.1250)  2 Cd 2.83, 2 I 2.95
I (0.0000, 0.0000, 0.5000)  4 Ag 2.95
I (0.0000, 0.5000, 0.7500)  4 Ag 2.95
I (0.5000, 0.0000, 0.2500)  4 Ag 2.95
I (0.5000, 0.5000, 0.0000)  4 Ag 2.95

---

Relative energies, kJ/mol of atoms: model w 10.0; model x 0.0.

---

Model w:
The following is a DFT calculation (PBE) of crystalline CdAgIN2 at its relaxed geometry.

Cell: 4.3478 4.3478 6.7443 Å, 90.00 90.00 90.00°
Last column: nearest neighbours and their distance in Å.
Positions (direct):
Cd (0.0000, 0.0000, 0.0000)  4 N 2.17
Ag (0.5000, 0.5000, 0.5000)  4 I 3.07
I (0.0000, 0.0000, 0.5000)  4 Ag 3.07, 2 Cd 3.37
N (0.0000, 0.5000, 0.0000)  2 Cd 2.17
N (0.5000, 0.0000, 0.0000)  2 Cd 2.17

---

Model x:
The following is a DFT calculation (PBE) of crystalline CdAgIN2 at its relaxed geometry.

Cell: 4.2092 4.2092 7.3998 Å, 90.00 90.00 90.00°
Last column: nearest neighbours and their distance in Å.
Positions (direct):
Cd (0.0000, 0.0000, 0.0000)  4 I 2.98
Ag (0.5000, 0.5000, 0.5000)  4 N 2.10
I (0.5000, 0.5000, 0.0000)  4 Cd 2.98
N (0.0000, 0.5000, 0.5000)  2 Ag 2.10
N (0.5000, 0.0000, 0.5000)  2 Ag 2.10

---

Relative energies, kJ/mol of atoms: model w 0.0; model x 5.1.

---

Model w:
The following is a DFT calculation (PBE) of crystalline CdAgI2O at its relaxed geometry.

Cell: 5.9963 5.9963 4.1390 Å, 90.00 90.00 90.00°
Last column: nearest neighbours and their distance in Å.
Positions (direct):
Cd (0.0000, 0.0000, 0.0000)  2 O 2.07
Ag (0.5000, 0.5000, 0.5000)  8 I 3.64
I (0.0000, 0.5000, 0.0000)  2 Cd 3.00
I (0.5000, 0.0000, 0.0000)  2 Cd 3.00
O (0.0000, 0.0000, 0.5000)  2 Cd 2.07

---

Model x:
The following is a DFT calculation (PBE) of crystalline CdAgI2O at its relaxed geometry.

Cell: 5.8001 5.8001 4.0487 Å, 90.00 90.00 90.00°
Last column: nearest neighbours and their distance in Å.
Positions (direct):
Cd (0.0000, 0.0000, 0.0000)  8 I 3.54
Ag (0.5000, 0.5000, 0.5000)  2 O 2.02
I (0.0000, 0.5000, 0.5000)  2 Ag 2.90
I (0.5000, 0.0000, 0.5000)  2 Ag 2.90
O (0.5000, 0.5000, 0.0000)  2 Ag 2.02

---

Relative energies, kJ/mol of atoms: model w 0.0; model x 10.6.